[1]
## Sr15Pd5O24 (meta-GGA SCAN)

Data for a crystal of Sr15Pd5O24 relaxed with PBEsol.

Lattice parameters (Å, degrees): 9.617 9.617 9.617 60.03 60.03 60.03
Atoms (fractional coordinates):
Sr 0.000 0.000 0.000
Sr 0.000 0.369 0.631
Sr 0.124 0.750 0.384
Sr 0.140 0.500 0.860
Sr 0.250 0.876 0.616
Sr 0.251 0.251 0.251
Sr 0.369 0.631 0.000
Sr 0.384 0.124 0.750
Sr 0.500 0.860 0.140
Sr 0.616 0.250 0.876
Sr 0.631 0.000 0.369
Sr 0.749 0.749 0.749
Sr 0.750 0.384 0.124
Sr 0.860 0.140 0.500
Sr 0.876 0.616 0.250
Pd 0.125 0.125 0.125
Pd 0.376 0.376 0.376
Pd 0.500 0.500 0.500
Pd 0.624 0.624 0.624
Pd 0.875 0.875 0.875
O 0.008 0.800 0.666
O 0.052 0.261 0.913
O 0.087 0.739 0.948
O 0.167 0.511 0.300
O 0.200 0.992 0.334
O 0.251 0.455 0.579
O 0.261 0.913 0.052
O 0.300 0.167 0.511
O 0.334 0.200 0.992
O 0.421 0.545 0.749
O 0.455 0.579 0.251
O 0.489 0.833 0.700
O 0.511 0.300 0.167
O 0.545 0.749 0.421
O 0.579 0.251 0.455
O 0.666 0.008 0.800
O 0.700 0.489 0.833
O 0.739 0.948 0.087
O 0.749 0.421 0.545
O 0.800 0.666 0.008
O 0.833 0.700 0.489
O 0.913 0.052 0.261
O 0.948 0.087 0.739
O 0.992 0.334 0.200

Properties
Symmetry   R32, No. 155
Formation energy (no corrections)   -227.4 kJ/mol of atoms

[2]
## CuMo3O (meta-GGA SCAN)

Data for a crystal of CuMo3O relaxed with PBEsol.

Lattice parameters (Å, degrees): 4.433 4.433 4.433 90.00 90.00 90.00
Atoms (fractional coordinates):
Cu 0.000 0.000 0.000
Mo 0.000 0.000 0.500
Mo 0.000 0.500 0.000
Mo 0.500 0.000 0.000
O 0.500 0.500 0.500

Properties
Symmetry   Pm-3m, No. 221
Formation energy (no corrections)   223.5 kJ/mol of atoms

[3]
## YZnOs3 (meta-GGA SCAN)

Data for a crystal of YZnOs3 relaxed with PBEsol.

Lattice parameters (Å, degrees): 4.744 4.744 4.744 90.00 90.00 90.00
Atoms (fractional coordinates):
Y 0.000 0.000 0.000
Zn 0.500 0.500 0.500
Os 0.000 0.000 0.500
Os 0.000 0.500 0.000
Os 0.500 0.000 0.000

Properties
Formation enthalpy at 0 K   3.11 eV/atom
Symmetry   Pm-3m, No. 221

[4]
## LiLa2Ag (meta-GGA SCAN)

Data for a crystal of LiLa2Ag relaxed with PBEsol.

Lattice parameters (Å, degrees): 7.537 7.537 7.537 90.00 90.00 90.00
Atoms (fractional coordinates):
Li 0.000 0.000 0.000
Li 0.000 0.500 0.500
Li 0.500 0.000 0.500
Li 0.500 0.500 0.000
La 0.250 0.250 0.250
La 0.250 0.250 0.750
La 0.250 0.750 0.250
La 0.250 0.750 0.750
La 0.750 0.250 0.250
La 0.750 0.250 0.750
La 0.750 0.750 0.250
La 0.750 0.750 0.750
Ag 0.000 0.000 0.500
Ag 0.000 0.500 0.000
Ag 0.500 0.000 0.000
Ag 0.500 0.500 0.500

Properties
Formation enthalpy at 0 K   -0.10 eV/atom
Symmetry   Fm-3m, No. 225
Relative energy among the computed polymorphs   0.010 eV per atom

[5]
## LaInFe2 (meta-GGA SCAN)

Data for a crystal of LaInFe2 relaxed with PBEsol.

Lattice parameters (Å, degrees): 4.641 4.641 3.304 90.00 90.00 90.00
Atoms (fractional coordinates):
La 0.000 0.000 0.000
In 0.500 0.500 0.000
Fe 0.000 0.500 0.500
Fe 0.500 0.000 0.500

Properties
Formation enthalpy at 0 K   0.35 eV/atom
Symmetry   P4/mmm, No. 123

[6]
## TlNiW2 (meta-GGA SCAN)

Data for a crystal of TlNiW2 relaxed with PBEsol.

Lattice parameters (Å, degrees): 4.010 4.018 7.798 90.00 90.00 90.00
Atoms (fractional coordinates):
Tl 0.000 0.000 0.000
Tl 0.500 0.500 0.000
Ni 0.000 0.000 0.500
Ni 0.500 0.500 0.500
W 0.000 0.500 0.292
W 0.000 0.500 0.708
W 0.500 0.000 0.292
W 0.500 0.000 0.708

Properties
Formation enthalpy at 0 K   0.72 eV/atom
Symmetry   Cmmm, No. 65
Relative energy among the computed polymorphs   0.163 eV per atom

[7]
## Zr2MoRh (meta-GGA SCAN)

Data for a crystal of Zr2MoRh relaxed with PBEsol.

Lattice parameters (Å, degrees): 6.481 6.481 6.481 90.00 90.00 90.00
Atoms (fractional coordinates):
Zr 0.000 0.000 0.000
Zr 0.000 0.500 0.500
Zr 0.250 0.250 0.250
Zr 0.250 0.750 0.750
Zr 0.500 0.000 0.500
Zr 0.500 0.500 0.000
Zr 0.750 0.250 0.750
Zr 0.750 0.750 0.250
Mo 0.250 0.250 0.750
Mo 0.250 0.750 0.250
Mo 0.750 0.250 0.250
Mo 0.750 0.750 0.750
Rh 0.000 0.000 0.500
Rh 0.000 0.500 0.000
Rh 0.500 0.000 0.000
Rh 0.500 0.500 0.500

Properties
Formation enthalpy at 0 K   -0.15 eV/atom
Symmetry   F-43m, No. 216

[8]
## Mn2CuP (meta-GGA SCAN)

Data for a crystal of Mn2CuP relaxed with PBEsol.

Lattice parameters (Å, degrees): 2.577 2.577 22.792 90.00 90.00 120.00
Atoms (fractional coordinates):
Mn 0.000 0.000 0.243
Mn 0.000 0.000 0.757
Mn 0.333 0.667 0.424
Mn 0.333 0.667 0.909
Mn 0.667 0.333 0.091
Mn 0.667 0.333 0.576
Cu 0.000 0.000 0.000
Cu 0.333 0.667 0.667
Cu 0.667 0.333 0.333
P 0.000 0.000 0.500
P 0.333 0.667 0.167
P 0.667 0.333 0.833

Properties
Formation enthalpy at 0 K   0.10 eV/atom
Symmetry   R-3m, No. 166

[9]
## PrMgSn (meta-GGA SCAN)

Data for a crystal of PrMgSn relaxed with PBEsol.

Lattice parameters (Å, degrees): 7.635 4.610 9.051 90.00 90.00 90.00
Atoms (fractional coordinates):
Pr 0.021 0.250 0.183
Pr 0.479 0.750 0.683
Pr 0.521 0.250 0.317
Pr 0.979 0.750 0.817
Mg 0.156 0.250 0.568
Mg 0.344 0.750 0.068
Mg 0.656 0.250 0.932
Mg 0.844 0.750 0.432
Sn 0.231 0.750 0.388
Sn 0.269 0.250 0.888
Sn 0.731 0.750 0.112
Sn 0.769 0.250 0.612

Properties
Formation enthalpy at 0 K   -0.69 eV/atom
Symmetry   Pnma, No. 62

[10]
## U2BiN2 (meta-GGA SCAN)

Data for a crystal of U2BiN2 relaxed with PBEsol.

Lattice parameters (Å, degrees): 3.850 3.850 12.300 90.00 90.00 90.00
Atoms (fractional coordinates):
U 0.000 0.000 0.159
U 0.000 0.000 0.841
U 0.500 0.500 0.341
U 0.500 0.500 0.659
Bi 0.000 0.000 0.500
Bi 0.500 0.500 0.000
N 0.000 0.500 0.250
N 0.000 0.500 0.750
N 0.500 0.000 0.250
N 0.500 0.000 0.750

Properties
Symmetry   I4/mmm, No. 139
Formation energy (no corrections)   -112.3 kJ/mol of atoms

[11]
## Mg2OsRu (meta-GGA SCAN)

Data for a crystal of Mg2OsRu relaxed with PBEsol.

Lattice parameters (Å, degrees): 2.890 4.556 9.430 90.00 90.00 90.00
Atoms (fractional coordinates):
Mg 0.000 0.000 0.000
Mg 0.000 0.500 0.217
Mg 0.500 0.000 0.717
Mg 0.500 0.500 0.500
Os 0.000 0.500 0.752
Os 0.500 0.000 0.252
Ru 0.000 0.000 0.469
Ru 0.500 0.500 0.969

Properties
Formation enthalpy at 0 K   0.08 eV/atom
Symmetry   Imm2, No. 44
Relative energy among the computed polymorphs   0.109 eV per atom

[12]
## LaMgAg2 (meta-GGA SCAN)

Data for a crystal of LaMgAg2 relaxed with PBEsol.

Lattice parameters (Å, degrees): 5.217 5.217 3.294 90.00 90.00 90.00
Atoms (fractional coordinates):
La 0.000 0.000 0.000
Mg 0.500 0.500 0.000
Ag 0.000 0.500 0.500
Ag 0.500 0.000 0.500

Properties
Formation enthalpy at 0 K   -0.16 eV/atom
Symmetry   P4/mmm, No. 123